# 1
Below is Hg5Au6 after structural relaxation, with properties calculated at the PBE level.

Results
E_form	23	meV per atom

a = 7.0829 Å, b = 7.0829 Å, c = 10.2970 Å
α = 90.00°, β = 90.00°, γ = 120.00°
Closest atoms and distances in Å follow each position.
Space group P6_3/mcm (No. 193)
Asymmetric unit:
Hg: 0.0000 0.4133 0.2500 (multiplicity 6)  6 Au 2.84-2.92
Hg: 0.3333 0.6667 0.0000 (multiplicity 4)  6 Au 2.97
Au: 0.0000 0.2408 0.6103 (multiplicity 12)  5 Au 2.84-2.95, 5 Hg 2.84-2.97

---

# 2
Below is Dy2Si after structural relaxation, with properties calculated at the PBE level.

Results
total moment	1.11	Bohr magnetons per cell

a = 7.8360 Å, b = 7.8360 Å, c = 4.1971 Å
α = 90.00°, β = 90.00°, γ = 120.00°
Closest atoms and distances in Å follow each position.
Space group P-62m (No. 189)
Asymmetric unit:
Dy: 0.0000 0.2649 0.0000 (multiplicity 3)  4 Si 2.92-2.95
Dy: 0.0000 0.5962 0.5000 (multiplicity 3)  5 Si 3.16-3.18, 6 Dy 3.34-3.49
Si: 0.0000 0.0000 0.5000 (multiplicity 1)  9 Dy 2.95-3.16
Si: 0.3333 0.6667 0.0000 (multiplicity 2)  9 Dy 2.92-3.18

---

# 3
Below is KAgSnSe3 after structural relaxation, with properties calculated at the PBE level.

Results
ΔE to the lowest computed polymorph	3	meV per atom

a = 8.3923 Å, b = 4.1397 Å, c = 10.1583 Å
α = 90.00°, β = 107.27°, γ = 90.00°
Closest atoms and distances in Å follow each position.
Space group P2_1/m (No. 11)
Asymmetric unit:
K: 0.2429 0.2500 0.1944 (multiplicity 2)  6 Se 3.37-3.63, 2 Ag 3.69
Ag: 0.4484 0.2500 0.9057 (multiplicity 2)  4 Se 2.65-2.79, 2 Ag 2.78
Sn: 0.1821 0.7500 0.6437 (multiplicity 2)  6 Se 2.70-2.86
Se: 0.0567 0.7500 0.3659 (multiplicity 2)  3 Sn 2.70-2.86
Se: 0.2323 0.7500 0.9203 (multiplicity 2)  1 Sn 2.72, 3 Ag 2.74-2.79
Se: 0.4001 0.2500 0.6356 (multiplicity 2)  1 Ag 2.65, 2 Sn 2.78

---

Looking at calculated total energy for the records above, in order, we have -1.894, -5.410, -3.599 eV/atom.
Looking at ρ for the records above, in order, we have 16.2, 7.9, 5.0 g/cm3.